1.
ZnTeP: relaxed, PBE-GGA.

Unit cell a=3.9925 b=3.9925 c=15.8163 alpha=90.00 beta=90.00 gamma=120.00
Space group R3m (No. 160, hexagonal axes)
Inequivalent atoms, fractional coordinates:
1 Zn 0.0000 0.0000 0.0000 x3
2 Te 0.0000 0.0000 0.5280 x3
3 P 0.0000 0.0000 0.3738 x3

Summary:
The distance to the lowest polymorph of the same formula comes out at 0.1285 eV/atom. The formation energy (no corrections) is 0.005 eV/atom. For the total energy, the calculation gives -3.2703 eV per atom.


2.
CePrIN: relaxed, PBE-GGA.

Unit cell a=3.7881 b=3.7881 c=23.2995 alpha=90.00 beta=90.00 gamma=120.00
Space group R3m (No. 160, hexagonal axes)
Inequivalent atoms, fractional coordinates:
1 Ce 0.0000 0.0000 0.0000 x3
2 Pr 0.0000 0.0000 0.7817 x3
3 I 0.0000 0.0000 0.5565 x3
4 N 0.0000 0.0000 0.3833 x3

Summary:
The formation energy (no corrections) is -1.175 eV/atom. For the total energy, the calculation gives -6.3224 eV per atom.